Computed, not measured: KAcPb2Cl8 after structural relaxation at the PBE-GGA level of DFT.

Size of the total moment, μB per formula unit: 0.0
Raw formation energy, meV per atom: -1708
SG: P2/m, No. 10
Calculated volume, Å³ per cell: 428.14

Cell and atoms, written as POSCAR:
```
KAcPb2Cl8
1.0
6.765 0.000 0.000
0.000 9.113 0.000
-0.083 0.000 6.944
K Ac Pb Cl
1 1 2 8
Direct
0.000 0.000 0.000
0.000 0.500 0.000
0.500 0.241 0.500
0.500 0.759 0.500
0.236 0.267 0.165
0.236 0.733 0.165
0.263 0.500 0.670
0.283 0.000 0.646
0.717 0.000 0.354
0.737 0.500 0.330
0.764 0.267 0.835
0.764 0.733 0.835
```

Computed, not measured: Tb3Ga2Hg4 after structural relaxation at the PBE-GGA level of DFT.

Size of the total moment, μB per formula unit: 0.0
Formation enthalpy at 0 K, kJ/mol of atoms: -45.1
SG: C2/m, No. 12
Calculated volume, Å³ per cell: 210.51

Cell and atoms, written as POSCAR:
```
Tb3Ga2Hg4
1.0
5.487 -2.387 0.000
5.487 2.387 0.000
-4.007 0.000 8.035
Tb Ga Hg
3 2 4
Direct
0.000 0.000 0.000
0.336 0.336 0.328
0.664 0.664 0.672
0.395 0.395 0.726
0.605 0.605 0.274
0.085 0.085 0.413
0.304 0.304 0.963
0.696 0.696 0.037
0.915 0.915 0.587
```

Computed, not measured: MoPt3Cl after structural relaxation at the PBE-GGA level of DFT.

Size of the total moment, μB per formula unit: 0.0
Offset from the most stable computed form, meV per atom: 0
Raw formation energy, meV per atom: 1238
SG: Pm-3m, No. 221
Calculated volume, Å³ per cell: 114.53

Cell and atoms, written as POSCAR:
```
MoPt3Cl
1.0
4.856 0.000 0.000
0.000 4.856 0.000
0.000 0.000 4.856
Mo Pt Cl
1 3 1
Direct
0.000 0.000 0.000
0.000 0.000 0.500
0.000 0.500 0.000
0.500 0.000 0.000
0.500 0.500 0.500
```

Computed, not measured: MgAs2Pb after structural relaxation at the PBE-GGA level of DFT.

Size of the total moment, μB per formula unit: 0.0
Formation enthalpy at 0 K, kJ/mol of atoms: 4.0
SG: Fm-3m, No. 225
Calculated volume, Å³ per cell: 92.57

Cell and atoms, written as POSCAR:
```
MgAs2Pb
1.0
0.000 3.590 3.590
3.590 0.000 3.590
3.590 3.590 0.000
Mg As Pb
1 2 1
Direct
0.000 0.000 0.000
0.250 0.250 0.250
0.750 0.750 0.750
0.500 0.500 0.500
```

Computed, not measured: Cs2NbSi after structural relaxation at the PBE-GGA level of DFT.

Size of the total moment, μB per formula unit: 3.2
Offset from the most stable computed form, meV per atom: 0
Raw formation energy, meV per atom: 872
SG: I-42d, No. 122
Calculated volume, Å³ per cell: 505.22

Cell and atoms, written as POSCAR:
```
Cs2NbSi
1.0
-7.096 7.096 2.508
7.096 -7.096 2.508
7.096 7.096 -2.508
Cs Nb Si
4 2 2
Direct
0.375 0.121 0.246
0.871 0.625 0.746
0.875 0.129 0.754
0.879 0.125 0.254
0.000 0.000 0.000
0.750 0.250 0.500
0.250 0.750 0.500
0.500 0.500 0.000
```

Computed, not measured: DyAsPt after structural relaxation at the PBE-GGA level of DFT.

Size of the total moment, μB per formula unit: 0.0
Formation enthalpy at 0 K, kJ/mol of atoms: -116.9
SG: P6_3/mmc, No. 194
Calculated volume, Å³ per cell: 123.32

Cell and atoms, written as POSCAR:
```
DyAsPt
1.0
4.295 0.000 0.000
-2.147 3.719 0.000
0.000 0.000 7.720
Dy As Pt
2 2 2
Direct
0.000 0.000 0.000
0.000 0.000 0.500
0.333 0.667 0.250
0.667 0.333 0.750
0.333 0.667 0.750
0.667 0.333 0.250
```

Computed, not measured: PuZnSe2 after structural relaxation at the PBE-GGA level of DFT.

Size of the total moment, μB per formula unit: 5.9
Raw formation energy, meV per atom: -793
SG: R-3m, No. 166
Calculated volume, Å³ per cell: 125.34

Cell and atoms, written as POSCAR:
```
PuZnSe2
1.0
2.143 1.237 7.877
-2.143 1.237 7.877
0.000 -2.475 7.877
Pu Zn Se
1 1 2
Direct
0.000 0.000 0.000
0.500 0.500 0.500
0.401 0.401 0.401
0.599 0.599 0.599
```

Computed, not measured: La2Cd2Ag after structural relaxation at the PBE-GGA level of DFT.

Size of the total moment, μB per formula unit: 0.0
Formation enthalpy at 0 K, kJ/mol of atoms: -21.7
Offset from the most stable computed form, meV per atom: 60
SG: P4/mbm, No. 127
Calculated volume, Å³ per cell: 283.41

Cell and atoms, written as POSCAR:
```
La2Cd2Ag
1.0
7.535 0.000 0.000
0.000 7.535 0.000
0.000 0.000 4.992
La Cd Ag
4 4 2
Direct
0.159 0.341 0.000
0.341 0.841 0.000
0.659 0.159 0.000
0.841 0.659 0.000
0.140 0.640 0.500
0.360 0.140 0.500
0.640 0.860 0.500
0.860 0.360 0.500
0.000 0.000 0.500
0.500 0.500 0.500
```

Computed, not measured: TmPuMg2 after structural relaxation at the PBE-GGA level of DFT.

Size of the total moment, μB per formula unit: 6.5
Formation enthalpy at 0 K, kJ/mol of atoms: 10.1
Offset from the most stable computed form, meV per atom: 21
SG: Fm-3m, No. 225
Calculated volume, Å³ per cell: 106.53

Cell and atoms, written as POSCAR:
```
TmPuMg2
1.0
0.000 3.763 3.763
3.763 0.000 3.763
3.763 3.763 0.000
Tm Pu Mg
1 1 2
Direct
0.000 0.000 0.000
0.500 0.500 0.500
0.250 0.250 0.250
0.750 0.750 0.750
```

Computed, not measured: Ta4TiOs5 after structural relaxation at the PBE-GGA level of DFT.

Size of the total moment, μB per formula unit: 0.0
Formation enthalpy at 0 K, kJ/mol of atoms: -32.6
SG: P4/mmm, No. 123
Calculated volume, Å³ per cell: 159.42

Cell and atoms, written as POSCAR:
```
Ta4TiOs5
1.0
3.081 0.000 0.000
0.000 3.081 0.000
0.000 0.000 16.792
Ta Ti Os
4 1 5
Direct
0.000 0.000 0.103
0.000 0.000 0.307
0.000 0.000 0.693
0.000 0.000 0.897
0.000 0.000 0.500
0.500 0.500 0.000
0.500 0.500 0.208
0.500 0.500 0.408
0.500 0.500 0.592
0.500 0.500 0.792
```

Computed, not measured: CrTc4Cl after structural relaxation at the PBE-GGA level of DFT.

Size of the total moment, μB per formula unit: 2.4
Raw formation energy, meV per atom: 951
SG: F-43m, No. 216
Calculated volume, Å³ per cell: 97.79

Cell and atoms, written as POSCAR:
```
CrTc4Cl
1.0
0.000 3.657 3.657
3.657 0.000 3.657
3.657 3.657 0.000
Cr Tc Cl
1 4 1
Direct
0.000 0.000 0.000
0.126 0.625 0.625
0.625 0.126 0.625
0.625 0.625 0.126
0.625 0.625 0.625
0.250 0.250 0.250
```

Computed, not measured: Tb2AgHg8 after structural relaxation at the PBE-GGA level of DFT.

Size of the total moment, μB per formula unit: 0.0
Formation enthalpy at 0 K, kJ/mol of atoms: -22.4
SG: P4/mmm, No. 123
Calculated volume, Å³ per cell: 271.80

Cell and atoms, written as POSCAR:
```
Tb2AgHg8
1.0
4.620 0.000 0.000
0.000 4.620 0.000
0.000 0.000 12.733
Tb Ag Hg
2 1 8
Direct
0.000 0.000 0.190
0.000 0.000 0.810
0.000 0.000 0.500
0.000 0.500 0.000
0.000 0.500 0.362
0.000 0.500 0.638
0.500 0.000 0.000
0.500 0.000 0.362
0.500 0.000 0.638
0.500 0.500 0.176
0.500 0.500 0.824
```

The highest size of the total moment belongs to which entry?
TmPuMg2

What is the formula in the first record?
KAcPb2Cl8